[1]
In2HgRu, optimized geometry, DFT PBE; energy relative to the elements = 194 meV per atom; crystal system = monoclinic; theoretical density = 10.88 g/cm3
1.0
5.225 -1.682 0.000
5.225 1.682 0.000
-2.080 0.000 4.611
In Hg Ru
2 1 1
Direct
0.000 0.000 0.000
0.220 0.220 0.620
0.450 0.450 0.453
0.725 0.725 0.056

[2]
InHg2Ru, optimized geometry, DFT PBE; energy relative to the elements = 337 meV per atom; crystal system = tetragonal; theoretical density = 13.07 g/cm3
1.0
-2.030 2.030 4.758
2.030 -2.030 4.758
2.030 2.030 -4.758
In Hg Ru
1 2 1
Direct
0.000 0.000 0.000
0.250 0.750 0.500
0.750 0.250 0.500
0.500 0.500 0.000

[3]
InHgRu4, optimized geometry, DFT PBE; energy relative to the elements = 548 meV per atom; crystal system = cubic; theoretical density = 11.79 g/cm3
1.0
0.000 3.701 3.701
3.701 0.000 3.701
3.701 3.701 0.000
In Hg Ru
1 1 4
Direct
0.000 0.000 0.000
0.250 0.250 0.250
0.125 0.625 0.625
0.625 0.125 0.625
0.625 0.625 0.125
0.625 0.625 0.625

[4]
In2HgRu, optimized geometry, DFT PBE; energy relative to the elements = 186 meV per atom; crystal system = trigonal; theoretical density = 10.40 g/cm3
1.0
1.646 0.950 9.041
-1.646 0.950 9.041
0.000 -1.900 9.041
In Hg Ru
2 1 1
Direct
0.240 0.240 0.240
0.760 0.760 0.760
0.000 0.000 0.000
0.500 0.500 0.500

[5]
InHg2Ru, optimized geometry, DFT PBE; energy relative to the elements = 370 meV per atom; crystal system = tetragonal; theoretical density = 13.25 g/cm3
1.0
4.203 0.000 0.000
0.000 4.203 0.000
0.000 0.000 4.376
In Hg Ru
1 2 1
Direct
0.000 0.000 0.000
0.000 0.500 0.500
0.500 0.000 0.500
0.500 0.500 0.000

[6]
InHg2Ru, optimized geometry, DFT PBE; energy relative to the elements = 445 meV per atom; crystal system = trigonal; theoretical density = 12.24 g/cm3
1.0
1.590 0.918 9.558
-1.590 0.918 9.558
0.000 -1.836 9.558
In Hg Ru
1 2 1
Direct
0.000 0.000 0.000
0.243 0.243 0.243
0.757 0.757 0.757
0.500 0.500 0.500

Number 1: DOS(E_F) 0.34 states/eV/atom. Number 2: DOS(E_F) 0.71 states/eV/atom. Number 3: DOS(E_F) 1.09 states/eV/atom. Number 4: DOS(E_F) 0.70 states/eV/atom. Number 5: DOS(E_F) 0.75 states/eV/atom. Number 6: DOS(E_F) 0.54 states/eV/atom.